(1)
The following is a DFT calculation (PBE) of crystalline CrNi2Cl at its relaxed geometry.

Results
Energy relative to the lowest polymorph listed for this composition ... 0.0026 eV per atom
Total magnetic moment ... 0.729 μB/atom
Calculated volume ... 58.2 Å³/cell
DOS at the Fermi energy ... 3.71 states/eV per cell
Symmetry ... No. 47
Formation energy (no corrections) ... 18.6 kJ per mole of atoms
VASP energy ... -0.4090 Ry per atom

abc: 3.0017 3.0941 6.2648
angles: 90.00 90.00 90.00
Sites, in units of the cell vectors:
Cr (0.0000, 0.0000, 0.0000)
Ni (0.5000, 0.5000, 0.1986)
Ni (0.5000, 0.5000, 0.8014)
Cl (0.0000, 0.5000, 0.5000)


(2)
The following is a DFT calculation (PBE) of crystalline AlIrPd3 at its relaxed geometry.

Results
ΔE_f ... 5.37 eV/f.u.
Energy relative to the lowest polymorph listed for this composition ... 0.3811 eV per atom
Total magnetic moment ... 0.001 μB/atom
Calculated volume ... 113.6 Å³/cell
DOS at the Fermi energy ... 7.20 states/eV per cell
Symmetry ... No. 221
VASP energy ... -0.3353 Ry per atom

abc: 4.8428 4.8428 4.8428
angles: 90.00 90.00 90.00
Sites, in units of the cell vectors:
Al (0.0000, 0.0000, 0.0000)
Ir (0.5000, 0.5000, 0.5000)
Pd (0.0000, 0.5000, 0.5000)
Pd (0.5000, 0.0000, 0.5000)
Pd (0.5000, 0.5000, 0.0000)


(3)
The following is a DFT calculation (PBE) of crystalline La2TiZnPb at its relaxed geometry.

Results
ΔE_f ... 2.30 eV/f.u.
Total magnetic moment ... 0.678 μB/atom
Calculated volume ... 163.7 Å³/cell
DOS at the Fermi energy ... 4.58 states/eV per cell
Symmetry ... No. 123
VASP energy ... -0.3003 Ry per atom

abc: 5.6714 5.6714 5.0894
angles: 90.00 90.00 90.00
Sites, in units of the cell vectors:
La (0.0000, 0.5000, 0.0000)
La (0.5000, 0.0000, 0.0000)
Ti (0.0000, 0.0000, 0.5000)
Zn (0.5000, 0.5000, 0.0000)
Pb (0.5000, 0.5000, 0.5000)


(4)
The following is a DFT calculation (PBE) of crystalline RbReAgH2 at its relaxed geometry.

Results
Total magnetic moment ... 0.664 μB/atom
Calculated volume ... 107.4 Å³/cell
DOS at the Fermi energy ... 3.30 states/eV per cell
Symmetry ... No. 123
VASP energy ... -0.2301 Ry per atom

abc: 4.0420 4.0420 6.5739
angles: 90.00 90.00 90.00
Sites, in units of the cell vectors:
Rb (0.0000, 0.0000, 0.0000)
Re (0.0000, 0.0000, 0.5000)
Ag (0.5000, 0.5000, 0.0000)
H (0.0000, 0.5000, 0.5000)
H (0.5000, 0.0000, 0.5000)


(5)
The following is a DFT calculation (PBE) of crystalline SrZrAlV2 at its relaxed geometry.

Results
ΔE_f ... 7.39 eV/f.u.
Total magnetic moment ... 0.822 μB/atom
Calculated volume ... 134.7 Å³/cell
DOS at the Fermi energy ... 7.72 states/eV per cell
Symmetry ... No. 123
VASP energy ... -0.3648 Ry per atom

abc: 4.8220 4.8220 5.7951
angles: 90.00 90.00 90.00
Sites, in units of the cell vectors:
Sr (0.0000, 0.0000, 0.0000)
Zr (0.0000, 0.0000, 0.5000)
Al (0.5000, 0.5000, 0.0000)
V (0.0000, 0.5000, 0.5000)
V (0.5000, 0.0000, 0.5000)


(6)
The following is a DFT calculation (PBE) of crystalline DyInCu at its relaxed geometry.

Results
ΔE_f ... -0.79 eV/f.u.
Total magnetic moment ... 0.000 μB/atom
Calculated volume ... 136.3 Å³/cell
DOS at the Fermi energy ... 4.85 states/eV per cell
Symmetry ... No. 12
VASP energy ... -0.2994 Ry per atom

abc: 4.6355 4.6355 7.7999
angles: 107.37 107.37 60.08
Sites, in units of the cell vectors:
Dy (0.2410, 0.2410, 0.2237)
Dy (0.7590, 0.7590, 0.7763)
In (0.0000, 0.0000, 0.5000)
In (0.5000, 0.5000, 0.0000)
Cu (0.3715, 0.3715, 0.6149)
Cu (0.6285, 0.6285, 0.3851)